First-principles (GGA+U) data for an optimized crystal structure of RbCoPO, as listed in OQMD.

Unit cell a=3.185 b=7.038 c=7.365 alpha=90.00 beta=90.00 gamma=90.00
Sites, in units of the cell vectors:
O: 0.500 0.292 0.443
Co: 0.000 0.160 0.474
O: 0.500 0.708 0.943
P: 0.000 0.071 0.764
Rb: 0.500 0.652 0.573
Co: 0.000 0.840 0.974
Rb: 0.500 0.348 0.073
P: 0.000 0.929 0.264

Output
The excess energy over the best structure of this formula in the dataset is 0.0000 eV/atom.